Entry 1:
A relaxed CePmCoGe crystal, computed with PBE.

The structure in CIF format:
```
data_CePmCoGe
_chemical_formula_sum 'Ce1 Pm1 Co1 Ge1'
_cell_length_a 5.032
_cell_length_b 5.032
_cell_length_c 5.032
_cell_angle_alpha 60.00
_cell_angle_beta 60.00
_cell_angle_gamma 60.00
_symmetry_space_group_name_H-M 'P 1'
_symmetry_Int_Tables_number 1
loop_
_symmetry_equiv_pos_as_xyz
'x,y,z'
loop_
_atom_site_label
_atom_site_type_symbol
_atom_site_fract_x
_atom_site_fract_y
_atom_site_fract_z
Ce1 Ce 0.000 0.000 0.000
Pm1 Pm 0.500 0.500 0.500
Co1 Co 0.750 0.750 0.750
Ge1 Ge 0.250 0.250 0.250
```

Output
Its formation energy is -0.28 eV per atom. As for the magnetization: 0.1 μB/cell. The energy above the most stable polymorph in this dataset is 18 meV per atom. The calculated volume is 90.1 Å³ per cell.

Entry 2:
A relaxed CePrCoGe crystal, computed with PBE.

The structure in CIF format:
```
data_CePrCoGe
_chemical_formula_sum 'Ce2 Pr2 Co2 Ge2'
_cell_length_a 4.912
_cell_length_b 4.912
_cell_length_c 8.485
_cell_angle_alpha 90.00
_cell_angle_beta 90.00
_cell_angle_gamma 90.00
_symmetry_space_group_name_H-M 'P 1'
_symmetry_Int_Tables_number 1
loop_
_symmetry_equiv_pos_as_xyz
'x,y,z'
loop_
_atom_site_label
_atom_site_type_symbol
_atom_site_fract_x
_atom_site_fract_y
_atom_site_fract_z
Ce1 Ce 0.250 0.750 0.000
Ce2 Ce 0.750 0.250 0.000
Pr1 Pr 0.250 0.250 0.360
Pr2 Pr 0.750 0.750 0.640
Co1 Co 0.250 0.250 0.993
Co2 Co 0.750 0.750 0.007
Ge1 Ge 0.250 0.250 0.709
Ge2 Ge 0.750 0.750 0.291
```

Output
Its formation energy is -0.40 eV per atom. As for the magnetization: 0.0 μB/cell. The calculated volume is 204.7 Å³ per cell.

Entry 3:
A relaxed Ce2CoGe3Pt4 crystal, computed with PBE.

The structure in CIF format:
```
data_Ce2CoGe3Pt4
_chemical_formula_sum 'Ce2 Co1 Ge3 Pt4'
_cell_length_a 4.281
_cell_length_b 4.281
_cell_length_c 10.247
_cell_angle_alpha 90.00
_cell_angle_beta 90.00
_cell_angle_gamma 90.00
_symmetry_space_group_name_H-M 'P 1'
_symmetry_Int_Tables_number 1
loop_
_symmetry_equiv_pos_as_xyz
'x,y,z'
loop_
_atom_site_label
_atom_site_type_symbol
_atom_site_fract_x
_atom_site_fract_y
_atom_site_fract_z
Ce1 Ce 0.000 0.500 0.242
Ce2 Ce 0.500 0.000 0.758
Co1 Co 0.500 0.500 0.000
Ge1 Ge 0.000 0.000 0.000
Ge2 Ge 0.000 0.500 0.633
Ge3 Ge 0.500 0.000 0.367
Pt1 Pt 0.000 0.000 0.500
Pt2 Pt 0.000 0.500 0.872
Pt3 Pt 0.500 0.000 0.128
Pt4 Pt 0.500 0.500 0.500
```

Output
Its formation energy is -0.78 eV per atom. As for the magnetization: 3.1 μB/cell. The calculated volume is 187.8 Å³ per cell.

Entry 4:
A relaxed Ce3Co2Ge6Pt crystal, computed with PBE.

The structure in CIF format:
```
data_Ce3Co2Ge6Pt
_chemical_formula_sum 'Ce3 Co2 Ge6 Pt1'
_cell_length_a 6.266
_cell_length_b 6.266
_cell_length_c 7.054
_cell_angle_alpha 90.00
_cell_angle_beta 90.00
_cell_angle_gamma 120.00
_symmetry_space_group_name_H-M 'P 1'
_symmetry_Int_Tables_number 1
loop_
_symmetry_equiv_pos_as_xyz
'x,y,z'
loop_
_atom_site_label
_atom_site_type_symbol
_atom_site_fract_x
_atom_site_fract_y
_atom_site_fract_z
Ce1 Ce 0.000 0.000 0.000
Ce2 Ce 0.333 0.667 0.701
Ce3 Ce 0.667 0.333 0.299
Co1 Co 0.333 0.667 0.000
Co2 Co 0.667 0.333 0.000
Ge1 Ge 0.195 0.390 0.290
Ge2 Ge 0.195 0.805 0.290
Ge3 Ge 0.390 0.195 0.710
Ge4 Ge 0.610 0.805 0.290
Ge5 Ge 0.805 0.195 0.710
Ge6 Ge 0.805 0.610 0.710
Pt1 Pt 0.000 0.000 0.500
```

Output
Its formation energy is -0.30 eV per atom. As for the magnetization: 0.5 μB/cell. The calculated volume is 239.8 Å³ per cell.

Entry 5:
A relaxed CePuCoGe crystal, computed with PBE.

The structure in CIF format:
```
data_CePuCoGe
_chemical_formula_sum 'Ce1 Pu1 Co1 Ge1'
_cell_length_a 4.578
_cell_length_b 4.578
_cell_length_c 4.918
_cell_angle_alpha 90.00
_cell_angle_beta 90.00
_cell_angle_gamma 120.00
_symmetry_space_group_name_H-M 'P 1'
_symmetry_Int_Tables_number 1
loop_
_symmetry_equiv_pos_as_xyz
'x,y,z'
loop_
_atom_site_label
_atom_site_type_symbol
_atom_site_fract_x
_atom_site_fract_y
_atom_site_fract_z
Ce1 Ce 0.000 0.000 0.000
Pu1 Pu 0.667 0.333 0.427
Co1 Co 0.333 0.667 0.212
Ge1 Ge 0.333 0.667 0.710
```

Output
Its formation energy is -0.24 eV per atom. As for the magnetization: 6.0 μB/cell. The calculated volume is 89.3 Å³ per cell.

Entry 6:
A relaxed Ce2Co3Ge4Rh crystal, computed with PBE.

The structure in CIF format:
```
data_Ce2Co3Ge4Rh
_chemical_formula_sum 'Ce2 Co3 Ge4 Rh1'
_cell_length_a 4.111
_cell_length_b 4.111
_cell_length_c 9.832
_cell_angle_alpha 90.00
_cell_angle_beta 90.00
_cell_angle_gamma 90.00
_symmetry_space_group_name_H-M 'P 1'
_symmetry_Int_Tables_number 1
loop_
_symmetry_equiv_pos_as_xyz
'x,y,z'
loop_
_atom_site_label
_atom_site_type_symbol
_atom_site_fract_x
_atom_site_fract_y
_atom_site_fract_z
Ce1 Ce 0.000 0.500 0.241
Ce2 Ce 0.500 0.000 0.759
Co1 Co 0.000 0.500 0.874
Co2 Co 0.500 0.000 0.126
Co3 Co 0.500 0.500 0.500
Ge1 Ge 0.000 0.000 0.000
Ge2 Ge 0.000 0.500 0.636
Ge3 Ge 0.500 0.000 0.364
Ge4 Ge 0.500 0.500 0.000
Rh1 Rh 0.000 0.000 0.500
```

Output
Its formation energy is -0.66 eV per atom. As for the magnetization: 0.6 μB/cell. The calculated volume is 166.2 Å³ per cell.

Entry 7:
A relaxed CeCo2Ge2Rh crystal, computed with PBE.

The structure in CIF format:
```
data_CeCo2Ge2Rh
_chemical_formula_sum 'Ce1 Co2 Ge2 Rh1'
_cell_length_a 4.729
_cell_length_b 4.729
_cell_length_c 5.061
_cell_angle_alpha 90.00
_cell_angle_beta 90.00
_cell_angle_gamma 90.00
_symmetry_space_group_name_H-M 'P 1'
_symmetry_Int_Tables_number 1
loop_
_symmetry_equiv_pos_as_xyz
'x,y,z'
loop_
_atom_site_label
_atom_site_type_symbol
_atom_site_fract_x
_atom_site_fract_y
_atom_site_fract_z
Ce1 Ce 0.000 0.000 0.000
Co1 Co 0.500 0.500 0.254
Co2 Co 0.500 0.500 0.746
Ge1 Ge 0.000 0.500 0.500
Ge2 Ge 0.500 0.000 0.500
Rh1 Rh 0.000 0.000 0.500
```

Output
Its formation energy is 0.06 eV per atom. As for the magnetization: 1.6 μB/cell. The calculated volume is 113.2 Å³ per cell.

Entry 8:
A relaxed CeCoGeRh crystal, computed with PBE.

The structure in CIF format:
```
data_CeCoGeRh
_chemical_formula_sum 'Ce1 Co1 Ge1 Rh1'
_cell_length_a 4.333
_cell_length_b 4.816
_cell_length_c 4.816
_cell_angle_alpha 48.37
_cell_angle_beta 90.00
_cell_angle_gamma 90.00
_symmetry_space_group_name_H-M 'P 1'
_symmetry_Int_Tables_number 1
loop_
_symmetry_equiv_pos_as_xyz
'x,y,z'
loop_
_atom_site_label
_atom_site_type_symbol
_atom_site_fract_x
_atom_site_fract_y
_atom_site_fract_z
Ce1 Ce 0.000 0.000 0.000
Co1 Co 0.500 0.253 0.253
Ge1 Ge 0.500 0.591 0.591
Rh1 Rh 0.000 0.733 0.733
```

Output
Its formation energy is -0.35 eV per atom. As for the magnetization: 0.2 μB/cell. The calculated volume is 75.1 Å³ per cell.

Entry 9:
A relaxed CeCoGe2Rh crystal, computed with PBE.

The structure in CIF format:
```
data_CeCoGe2Rh
_chemical_formula_sum 'Ce1 Co1 Ge2 Rh1'
_cell_length_a 5.932
_cell_length_b 5.932
_cell_length_c 5.932
_cell_angle_alpha 139.66
_cell_angle_beta 139.66
_cell_angle_gamma 58.38
_symmetry_space_group_name_H-M 'P 1'
_symmetry_Int_Tables_number 1
loop_
_symmetry_equiv_pos_as_xyz
'x,y,z'
loop_
_atom_site_label
_atom_site_type_symbol
_atom_site_fract_x
_atom_site_fract_y
_atom_site_fract_z
Ce1 Ce 0.000 0.000 0.000
Co1 Co 0.750 0.250 0.500
Ge1 Ge 0.375 0.375 0.000
Ge2 Ge 0.625 0.625 0.000
Rh1 Rh 0.250 0.750 0.500
```

Output
Its formation energy is -0.69 eV per atom. As for the magnetization: 0.7 μB/cell. The calculated volume is 86.7 Å³ per cell.

Entry 10:
A relaxed Ce2Co3Ge4Ru crystal, computed with PBE.

The structure in CIF format:
```
data_Ce2Co3Ge4Ru
_chemical_formula_sum 'Ce2 Co3 Ge4 Ru1'
_cell_length_a 4.145
_cell_length_b 4.145
_cell_length_c 9.688
_cell_angle_alpha 90.00
_cell_angle_beta 90.00
_cell_angle_gamma 90.00
_symmetry_space_group_name_H-M 'P 1'
_symmetry_Int_Tables_number 1
loop_
_symmetry_equiv_pos_as_xyz
'x,y,z'
loop_
_atom_site_label
_atom_site_type_symbol
_atom_site_fract_x
_atom_site_fract_y
_atom_site_fract_z
Ce1 Ce 0.000 0.500 0.245
Ce2 Ce 0.500 0.000 0.755
Co1 Co 0.000 0.500 0.875
Co2 Co 0.500 0.000 0.125
Co3 Co 0.500 0.500 0.500
Ge1 Ge 0.000 0.000 0.000
Ge2 Ge 0.000 0.500 0.633
Ge3 Ge 0.500 0.000 0.367
Ge4 Ge 0.500 0.500 0.000
Ru1 Ru 0.000 0.000 0.500
```

Output
Its formation energy is -0.60 eV per atom. As for the magnetization: 0.2 μB/cell. The energy above the most stable polymorph in this dataset is 0 meV per atom. The calculated volume is 166.5 Å³ per cell.